Here is an optimized crystal structure of Li6CuAu from OQMD. Energies are from PBE.

Values from the calculation:
symmetry: No. 123
V: 14.59 Å³ per atom
VASP energy: -19.993 eV/f.u.

POSCAR file:
```
Li6CuAu
1.0
-0.228 -3.439 2.663
4.226 0.455 0.950
-1.453 3.721 4.681
Au Cu Li
1 1 6
direct
0.500 0.500 0.500
0.000 0.000 0.000
0.500 0.500 0.000
0.500 0.000 0.248
0.000 0.500 0.248
0.000 0.000 0.500
0.500 0.000 0.752
0.000 0.500 0.752
```